Entry 1:
Crystalline PmTcH6 at its relaxed geometry. Source: the Alexandria database, functional PBE.

The structure belongs to space group Fm-3m (No. 225); the cell edges are 7.7621, 7.7621 and 7.7621 Å and the angles 90.00°, 90.00° and 90.00°. Symmetry generates all atoms from Pm at (0.0000, 0.0000, 0.0000), Tc at (0.0000, 0.0000, 0.5000) and H at (0.0000, 0.0000, 0.2771).

Its energy above the most stable polymorph in this dataset is 0.230 eV per atom.



Entry 2:
Crystalline BeSi3C at its relaxed geometry. Source: the Alexandria database, functional PBE.

The structure belongs to space group Pm-3m (No. 221); the cell edges are 4.1311, 4.1311 and 4.1311 Å and the angles 90.00°, 90.00° and 90.00°. Symmetry generates all atoms from Be at (0.0000, 0.0000, 0.0000), Si at (0.0000, 0.0000, 0.5000) and C at (0.5000, 0.5000, 0.5000).

The calculation puts the formation energy from raw total energies at 1.679 eV/atom. Its energy above the most stable polymorph in this dataset is 0.643 eV per atom.



Entry 3:
Crystalline ScCu2Pd8 at its relaxed geometry. Source: the Alexandria database, functional PBE.

The structure belongs to space group Cmmm (No. 65); the cell edges are 7.9617, 10.5102 and 4.1642 Å and the angles 90.00°, 90.00° and 90.00°. Symmetry generates all atoms from Sc at (0.0000, 0.0000, 0.0000), Cu at (0.0000, 0.3851, 0.5000), Pd at (0.0000, 0.2556, 0.0000), Pd at (0.1679, 0.5000, 0.0000) and Pd at (0.1749, 0.1348, 0.5000).

The value obtained for the energy of formation from the pure elements is -0.21 eV/atom. Its energy above the most stable polymorph in this dataset is 0.135 eV per atom.



Entry 4:
Crystalline LiMgAg2 at its relaxed geometry. Source: the Alexandria database, functional PBE.

The structure belongs to space group Cm (No. 8); the cell edges are 9.8257, 3.1129 and 4.7833 Å and the angles 90.00°, 103.59° and 90.00°. Symmetry generates all atoms from Li at (0.0000, 0.0000, 0.0000), Mg at (0.2665, 0.5000, 0.3186), Ag at (0.0118, 0.5000, 0.5159) and Ag at (0.2574, 0.0000, 0.8161).

The value obtained for the energy of formation from the pure elements is -0.19 eV/atom.



Entry 5:
Crystalline PuCrB at its relaxed geometry. Source: the Alexandria database, functional PBE.

The structure belongs to space group P4/nmm (No. 129, origin choice 2); the cell edges are 3.2981, 3.2981 and 6.5941 Å and the angles 90.00°, 90.00° and 90.00°. Symmetry generates all atoms from Pu at (0.2500, 0.2500, 0.0912), Cr at (0.2500, 0.7500, 0.5000) and B at (0.2500, 0.2500, 0.7186).

The value obtained for the energy of formation from the pure elements is 0.05 eV/atom.



Entry 6:
Crystalline RbGeBiS4 at its relaxed geometry. Source: the Alexandria database, functional PBE.

The structure belongs to space group P2_1/c (No. 14); the cell edges are 6.7149, 6.9218 and 18.2806 Å and the angles 90.00°, 107.55° and 90.00°. Symmetry generates all atoms from Rb at (0.2204, 0.2456, 0.4658), Ge at (0.2887, 0.7325, 0.8389), Bi at (0.2626, 0.1949, 0.2219), S at (0.0787, 0.7430, 0.4119), S at (0.0858, 0.6694, 0.7182), S at (0.4863, 0.5106, 0.1369) and S at (0.4920, 0.5058, 0.3514).

The calculation puts the formation energy from raw total energies at -0.642 eV/atom. Its energy above the most stable polymorph in this dataset is 0.000 eV per atom.



Number 1: energy -4.248 eV/atom, V 467.7 Å³/cell. Number 2: energy -4.164 eV/atom, V 70.5 Å³/cell. Number 3: energy -5.308 eV/atom, V 348.5 Å³/cell. Number 4: energy -2.495 eV/atom, V 142.2 Å³/cell. Number 5: energy -10.165 eV/atom, V 71.7 Å³/cell. Number 6: energy -4.353 eV/atom, V 810.1 Å³/cell.